[1]
This record from the Alexandria database describes a geometry-optimized ZrTl2GeF structure. The functional is GGA-PBE.

For the magnetic moment, the calculation gives 0.0 μB/f.u. Its uncorrected formation energy is -0.237 eV per atom. The density is 8.9 g/cm3.

It has space group P4/mmm (No. 123), with a = 4.9979 Å, b = 4.9979 Å, c = 4.4009 Å, α = 90.00°, β = 90.00° and γ = 90.00°. The distinct sites, in fractional coordinates, are Zr at (0.0000, 0.0000, 0.0000), Tl at (0.0000, 0.5000, 0.5000), Ge at (0.5000, 0.5000, 0.0000) and F at (0.5000, 0.5000, 0.5000).

=====

[2]
This record from the Alexandria database describes a geometry-optimized TmGe2F8 structure. The functional is GGA-PBE.

For the magnetic moment, the calculation gives 0.9 μB/f.u. Its uncorrected formation energy is -2.707 eV per atom. The density is 4.7 g/cm3.

It has space group C2/m (No. 12), with a = 9.3414 Å, b = 6.9109 Å, c = 5.2727 Å, α = 90.00°, β = 103.69° and γ = 90.00°. The distinct sites, in fractional coordinates, are Tm at (0.0000, 0.0000, 0.0000), Ge at (0.1550, 0.5000, 0.3861), F at (0.0581, 0.5000, 0.7473), F at (0.1273, 0.2117, 0.2646) and F at (0.1738, 0.0000, 0.7997).

=====

[3]
This record from the Alexandria database describes a geometry-optimized UGe2F8 structure. The functional is GGA-PBE.

For the magnetic moment, the calculation gives 2.0 μB/f.u. Its uncorrected formation energy is -2.725 eV per atom. The density is 4.8 g/cm3.

It has space group C2/m (No. 12), with a = 13.7405 Å, b = 5.5309 Å, c = 4.9545 Å, α = 90.00°, β = 101.18° and γ = 90.00°. The distinct sites, in fractional coordinates, are U at (0.0000, 0.0000, 0.0000), Ge at (0.1657, 0.5000, 0.5523), F at (0.0798, 0.2507, 0.3447), F at (0.0968, 0.5000, 0.8321) and F at (0.1365, 0.0000, 0.8799).